# SrCrPO5 | the Alexandria database | PBE+U | relaxed
data_SrCrPO5
_chemical_formula_sum 'Sr2 Cr2 P2 O10'
_symmetry_space_group_name_H-M 'P 1'
_symmetry_Int_Tables_number 1
_cell_length_a 5.641
_cell_length_b 5.641
_cell_length_c 7.119
_cell_angle_alpha 104.00
_cell_angle_beta 104.00
_cell_angle_gamma 106.01
loop_
_symmetry_equiv_pos_as_xyz
'x,y,z'
loop_
_atom_site_label
_atom_site_fract_x
_atom_site_fract_y
_atom_site_fract_z
Sr1 0.168 0.832 0.750
Sr2 0.832 0.168 0.250
Cr1 0.500 0.500 0.000
Cr2 0.500 0.500 0.500
P1 0.187 0.813 0.250
P2 0.813 0.187 0.750
O1 0.091 0.259 0.905
O2 0.191 0.618 0.373
O3 0.259 0.091 0.405
O4 0.382 0.809 0.127
O5 0.426 0.574 0.750
O6 0.574 0.426 0.250
O7 0.618 0.191 0.873
O8 0.741 0.909 0.595
O9 0.809 0.382 0.627
O10 0.909 0.741 0.095
# - Crystal system: monoclinic
# - Total magnetization: 0.375 μB per atom
# - Electronic total energy: -7.360 eV per atom